No. 1
# HoZn4Cr

HoZn4Cr after structural relaxation (GGA-PBE, Alexandria via LeMat-Bulk).

Geometry as POSCAR:
```
HoZn4Cr
1.0
0.0000 3.6785 3.6785
3.6785 0.0000 3.6785
3.6785 3.6785 0.0000
Ho Zn Cr
1 4 1
Cartesian
0.0000 0.0000 0.0000
2.7641 2.7641 2.7641
4.5928 4.5928 2.7641
4.5928 2.7641 4.5928
2.7641 4.5928 4.5928
5.5177 5.5177 5.5177
```

Results
ΔH_f (0 K)   -14 kJ per mole of atoms
Symmetry   F-43m (216)

No. 2
# HoZrCr4

HoZrCr4 after structural relaxation (GGA-PBE, Alexandria via LeMat-Bulk).

Geometry as POSCAR:
```
HoZrCr4
1.0
0.0000 3.6179 3.6179
3.6179 0.0000 3.6179
3.6179 3.6179 0.0000
Ho Zr Cr
1 1 4
Cartesian
0.0000 0.0000 0.0000
5.4268 5.4268 5.4268
2.7129 2.7129 2.7129
4.5229 4.5229 2.7129
4.5229 2.7129 4.5229
2.7129 4.5229 4.5229
```

Results
ΔH_f (0 K)   16 kJ per mole of atoms
Symmetry   F-43m (216)

No. 3
# CrI

CrI after structural relaxation (GGA-PBE, Alexandria via LeMat-Bulk).

Geometry as POSCAR:
```
CrI
1.0
11.4471 0.0000 0.0000
0.0000 3.8532 0.0000
0.0000 0.0000 7.9836
Cr I
6 6
Cartesian
0.0000 0.7021 0.0000
1.3918 2.5065 1.2115
4.3318 1.3467 5.2033
5.7236 3.1511 3.9918
7.1153 1.3467 5.2033
10.0554 2.5065 1.2115
0.0000 2.8540 3.4111
2.0637 2.3717 6.5686
3.6599 1.4816 2.5768
5.7236 0.9992 7.4029
7.7872 1.4816 2.5768
9.3835 2.3717 6.5686
```

Results
Formation energy from raw total energies   38 kJ/mol of formula units
ΔE to the lowest computed polymorph   0.21 eV/f.u.
Symmetry   Pmn2_1 (31)

No. 4
# CrI

CrI after structural relaxation (GGA-PBE, Alexandria via LeMat-Bulk).

Geometry as POSCAR:
```
CrI
1.0
7.3576 0.0000 0.0000
0.0000 7.8033 0.0000
0.0000 0.0000 4.2400
Cr I
4 4
Cartesian
0.2631 0.8195 0.0000
3.4157 4.7211 2.1200
3.9418 3.0822 2.1200
7.0945 6.9838 0.0000
1.7120 5.0984 0.0000
1.9667 1.1968 2.1200
5.3908 6.6065 2.1200
5.6455 2.7049 0.0000
```

Results
Formation energy from raw total energies   77 kJ/mol of formula units
ΔE to the lowest computed polymorph   0.62 eV/f.u.
Symmetry   Pnnm (58)

No. 5
# CrI

CrI after structural relaxation (GGA-PBE, Alexandria via LeMat-Bulk).

Geometry as POSCAR:
```
CrI
1.0
3.7813 0.0000 0.0000
0.0000 12.0046 0.0000
0.0000 0.0000 7.2644
Cr I
6 6
Cartesian
0.9453 0.5488 0.2315
0.9453 5.4535 0.2315
0.9453 9.0034 3.1688
2.8359 3.0011 4.0957
2.8359 6.5511 7.0329
2.8359 11.4558 7.0329
0.9453 3.0011 6.1828
0.9453 6.9614 5.1154
0.9453 11.0454 5.1154
2.8359 0.9592 2.1490
2.8359 5.0431 2.1490
2.8359 9.0034 1.0816
```

Results
Formation energy from raw total energies   101 kJ/mol of formula units
ΔE to the lowest computed polymorph   0.87 eV/f.u.
Symmetry   Pmmn (59)

No. 6
# Cr4I

Cr4I after structural relaxation (GGA-PBE, Alexandria via LeMat-Bulk).

Geometry as POSCAR:
```
Cr4I
1.0
5.1051 0.0000 0.0000
0.0000 5.1051 0.0000
0.0000 0.0000 5.1051
Cr I
4 1
Cartesian
0.0000 0.0000 0.0000
0.0000 2.5525 2.5525
2.5525 0.0000 2.5525
2.5525 2.5525 0.0000
2.5525 2.5525 2.5525
```

Results
Formation energy from raw total energies   930 kJ/mol of formula units
Symmetry   Pm-3m (221)

No. 7
# CrI

CrI after structural relaxation (GGA-PBE, Alexandria via LeMat-Bulk).

Geometry as POSCAR:
```
CrI
1.0
0.0000 4.9382 5.2402
4.6229 0.0000 5.2402
4.6229 4.9382 0.0000
Cr I
4 4
Cartesian
1.1557 1.2346 0.4278
1.1557 1.2346 2.1923
8.0900 8.6419 8.2882
8.0900 8.6419 10.0526
3.4672 1.4081 3.9302
5.7786 3.8772 6.5503
3.4672 5.9992 3.9302
5.7786 8.4683 6.5503
```

Results
Formation energy from raw total energies   99 kJ/mol of formula units
ΔE to the lowest computed polymorph   0.85 eV/f.u.
Symmetry   Fddd (70)

No. 8
# CrI4

CrI4 after structural relaxation (GGA-PBE, Alexandria via LeMat-Bulk).

Geometry as POSCAR:
```
CrI4
1.0
5.5587 0.0000 0.0000
0.0000 5.5587 0.0000
0.0000 0.0000 5.5587
Cr I
1 4
Cartesian
0.0000 0.0000 0.0000
0.0000 0.0000 2.7794
0.0000 2.7794 0.0000
2.7794 0.0000 0.0000
2.7794 2.7794 2.7794
```

Results
Formation energy from raw total energies   37 kJ/mol of formula units
Symmetry   Pm-3m (221)

No. 9
# CrI

CrI after structural relaxation (GGA-PBE, Alexandria via LeMat-Bulk).

Geometry as POSCAR:
```
CrI
1.0
10.4492 0.0000 0.0000
-5.2246 9.0493 0.0000
0.0000 0.0000 3.6176
Cr I
6 6
Cartesian
-2.1846 4.0344 0.9044
-0.6384 8.9239 0.9044
2.4016 3.9091 2.7132
2.8230 5.1402 0.9044
5.8630 0.1253 2.7132
7.4092 5.0148 2.7132
-2.3121 6.8593 0.9044
0.4404 3.6173 0.9044
3.3528 1.4273 2.7132
1.8718 7.6220 0.9044
4.7842 5.4320 2.7132
7.5367 2.1900 2.7132
```

Results
Formation energy from raw total energies   108 kJ/mol of formula units
ΔE to the lowest computed polymorph   0.94 eV/f.u.
Symmetry   P6_3/m (176)

No. 10
# CrI

CrI after structural relaxation (GGA-PBE, Alexandria via LeMat-Bulk).

Geometry as POSCAR:
```
CrI
1.0
11.0568 0.0000 0.0000
0.0000 11.0568 0.0000
0.0000 0.0000 3.5691
Cr I
8 8
Cartesian
2.2532 3.1927 0.0000
2.3357 7.7816 1.7845
3.1927 8.8036 0.0000
3.2752 2.3357 1.7845
7.7816 8.7211 1.7845
7.8641 2.2532 0.0000
8.7211 3.2752 1.7845
8.8036 7.8641 0.0000
0.2802 2.7433 1.7845
2.7433 10.7766 1.7845
2.7851 5.8086 0.0000
5.2482 2.7851 0.0000
5.8086 8.2718 0.0000
8.2718 5.2482 0.0000
8.3135 0.2802 1.7845
10.7766 8.3135 1.7845
```

Results
Formation energy from raw total energies   110 kJ/mol of formula units
ΔE to the lowest computed polymorph   0.96 eV/f.u.
Symmetry   I4/m (87)

No. 11
# CrI

CrI after structural relaxation (GGA-PBE, Alexandria via LeMat-Bulk).

Geometry as POSCAR:
```
CrI
1.0
8.0685 0.0000 0.0000
0.0000 8.0685 0.0000
0.0000 0.0000 8.0685
Cr I
6 6
Cartesian
0.0000 2.0171 4.0342
0.0000 6.0514 4.0342
2.0171 4.0342 0.0000
4.0342 0.0000 2.0171
4.0342 0.0000 6.0514
6.0514 4.0342 0.0000
0.0000 4.0342 2.0171
0.0000 4.0342 6.0514
2.0171 0.0000 4.0342
4.0342 2.0171 0.0000
4.0342 6.0514 0.0000
6.0514 0.0000 4.0342
```

Results
Formation energy from raw total energies   75 kJ/mol of formula units
ΔE to the lowest computed polymorph   0.60 eV/f.u.
Symmetry   Pm-3n (223)

No. 12
# CrI

CrI after structural relaxation (GGA-PBE, Alexandria via LeMat-Bulk).

Geometry as POSCAR:
```
CrI
1.0
6.0801 0.0000 0.0000
0.0000 6.0801 0.0000
0.0000 0.0000 6.0801
Cr I
4 4
Cartesian
0.0000 0.0000 0.0000
0.0000 3.0400 3.0400
3.0400 0.0000 3.0400
3.0400 3.0400 0.0000
0.0000 0.0000 3.0400
0.0000 3.0400 0.0000
3.0400 0.0000 0.0000
3.0400 3.0400 3.0400
```

Results
Formation energy from raw total energies   74 kJ/mol of formula units
ΔE to the lowest computed polymorph   0.59 eV/f.u.
Symmetry   Fm-3m (225)

No. 13
# CrI

CrI after structural relaxation (GGA-PBE, Alexandria via LeMat-Bulk).

Geometry as POSCAR:
```
CrI
1.0
4.6397 0.0000 0.0000
-2.3198 4.0181 0.0000
0.0000 0.0000 7.5476
Cr I
2 2
Cartesian
0.0000 2.6787 0.0000
2.3198 1.3394 3.7738
0.0000 2.6787 2.8413
2.3198 1.3394 6.6151
```

Results
Formation energy from raw total energies   67 kJ/mol of formula units
ΔE to the lowest computed polymorph   0.51 eV/f.u.
Symmetry   P6_3mc (186)

No. 14
# CrI

CrI after structural relaxation (GGA-PBE, Alexandria via LeMat-Bulk).

Geometry as POSCAR:
```
CrI
1.0
8.1841 0.0000 0.0000
0.0000 8.1841 0.0000
0.0000 0.0000 8.1841
Cr I
8 8
Cartesian
0.7901 0.7901 0.7901
0.7901 7.3940 7.3940
3.3020 3.3020 4.8821
3.3020 4.8821 3.3020
4.8821 3.3020 3.3020
4.8821 4.8821 4.8821
7.3940 0.7901 7.3940
7.3940 7.3940 0.7901
1.6900 1.6900 6.4941
1.6900 6.4941 1.6900
2.4020 2.4020 2.4020
2.4020 5.7821 5.7821
5.7821 2.4020 5.7821
5.7821 5.7821 2.4020
6.4941 1.6900 1.6900
6.4941 6.4941 6.4941
```

Results
Formation energy from raw total energies   101 kJ/mol of formula units
ΔE to the lowest computed polymorph   0.86 eV/f.u.
Symmetry   I-43m (217)

No. 15
# CrI

CrI after structural relaxation (GGA-PBE, Alexandria via LeMat-Bulk).

Geometry as POSCAR:
```
CrI
1.0
6.5574 0.0000 0.0000
0.0000 6.5574 0.0000
0.0000 0.0000 6.5574
Cr I
4 4
Cartesian
0.0000 0.0000 0.0000
0.0000 3.2787 3.2787
3.2787 0.0000 3.2787
3.2787 3.2787 0.0000
1.6394 1.6394 4.9181
1.6394 4.9181 1.6394
4.9181 1.6394 1.6394
4.9181 4.9181 4.9181
```

Results
Formation energy from raw total energies   67 kJ/mol of formula units
ΔE to the lowest computed polymorph   0.52 eV/f.u.
Symmetry   F-43m (216)

No. 16
# CrI

CrI after structural relaxation (GGA-PBE, Alexandria via LeMat-Bulk).

Geometry as POSCAR:
```
CrI
1.0
11.8879 0.0000 0.0000
0.0000 11.8879 0.0000
0.0000 0.0000 3.9179
Cr I
8 8
Cartesian
0.6817 5.1487 0.0000
0.7953 6.6256 1.9590
5.1487 11.2063 0.0000
5.2623 0.7953 1.9590
6.6256 11.0926 1.9590
6.7393 0.6817 0.0000
11.0926 5.2623 1.9590
11.2063 6.7393 0.0000
0.7686 3.0972 1.9590
2.8467 6.7125 0.0000
3.0972 11.1194 1.9590
5.1754 2.8467 0.0000
6.7125 9.0412 0.0000
8.7907 0.7686 1.9590
9.0412 5.1754 0.0000
11.1194 8.7907 1.9590
```

Results
Formation energy from raw total energies   17 kJ/mol of formula units
ΔE to the lowest computed polymorph   0.00 eV/f.u.
Symmetry   I4/m (87)

No. 17
# CrIn2I8

CrIn2I8 after structural relaxation (GGA-PBE, Alexandria via LeMat-Bulk).

Geometry as POSCAR:
```
CrIn2I8
1.0
6.7802 -5.6139 0.0000
6.7802 5.6139 0.0000
-0.3016 0.0000 7.3849
Cr In I
1 2 8
Cartesian
0.0000 0.0000 0.0000
2.6712 0.0000 4.8424
10.5876 0.0000 2.5425
5.4589 3.6217 1.3858
2.5631 0.0000 2.1085
7.7999 3.6217 5.9991
5.1919 0.0000 5.8181
8.0669 0.0000 1.5668
5.4589 -3.6217 1.3858
10.6957 0.0000 5.2764
7.7999 -3.6217 5.9991
```

Results
Formation energy from raw total energies   -457 kJ/mol of formula units
Symmetry   C2/m (12)

No. 18
# CrInI3

CrInI3 after structural relaxation (GGA-PBE, Alexandria via LeMat-Bulk).

Geometry as POSCAR:
```
CrInI3
1.0
5.6480 0.0000 0.0000
0.0000 5.6480 0.0000
0.0000 0.0000 5.6480
Cr In I
1 1 3
Cartesian
0.0000 0.0000 0.0000
2.8240 2.8240 2.8240
0.0000 0.0000 2.8240
0.0000 2.8240 0.0000
2.8240 0.0000 0.0000
```

Results
Formation energy from raw total energies   -135 kJ/mol of formula units
ΔE to the lowest computed polymorph   0.13 eV/f.u.
Symmetry   Pm-3m (221)

No. 19
# Cr2InI2

Cr2InI2 after structural relaxation (GGA-PBE, Alexandria via LeMat-Bulk).

Geometry as POSCAR:
```
Cr2InI2
1.0
3.6488 0.0000 0.0000
0.0000 3.6488 0.0000
0.0000 0.0000 19.7416
Cr In I
4 2 4
Cartesian
0.0000 1.8244 4.9354
0.0000 1.8244 14.8062
1.8244 0.0000 4.9354
1.8244 0.0000 14.8062
0.0000 0.0000 0.0000
1.8244 1.8244 9.8708
0.0000 0.0000 6.9173
0.0000 0.0000 12.8243
1.8244 1.8244 2.9535
1.8244 1.8244 16.7881
```

Results
Formation energy from raw total energies   254 kJ/mol of formula units
ΔE to the lowest computed polymorph   0.00 eV/f.u.
Symmetry   I4/mmm (139)

No. 20
# Cr2InI2

Cr2InI2 after structural relaxation (GGA-PBE, Alexandria via LeMat-Bulk).

Geometry as POSCAR:
```
Cr2InI2
1.0
8.9328 0.0000 0.0000
0.0000 8.9328 0.0000
0.0000 0.0000 3.6507
Cr In I
4 2 4
Cartesian
0.6617 3.8047 0.0000
3.8047 8.2711 0.0000
5.1281 0.6617 0.0000
8.2711 5.1281 0.0000
0.0000 0.0000 1.8254
4.4664 4.4664 1.8254
1.4357 5.9022 1.8254
3.0307 1.4357 1.8254
5.9022 7.4971 1.8254
7.4971 3.0307 1.8254
```

Results
Formation energy from raw total energies   393 kJ/mol of formula units
ΔE to the lowest computed polymorph   1.43 eV/f.u.
Symmetry   P4/mbm (127)

The records above yield E values of -3.361, -8.440, -5.390, -5.187, -5.063, -6.080, -5.073, -3.088, -5.028, -5.015, -5.200, -5.203, -5.240, -5.065, -5.238, -5.497, -2.931, -3.682, -4.490, -4.203 eV/atom, respectively.
The records above yield size of the total moment values of 0.500, 0.000, 0.493, 0.000, 1.032, 3.402, 0.001, 0.414, 0.001, 0.000, 2.500, 2.500, 2.500, 0.253, 2.500, 0.000, 0.364, 0.800, 0.669, 0.602 μB per atom, respectively.